(1)
Compound: CePr6HoEr2
Source: Alexandria
Functional: PBE-GGA
Structure: relaxed

abc: 8.8790 7.1456 6.6759
angles: 122.36 100.96 90.00
Element x y z (fractional)
Er (0.1623, 0.0925, 0.1850)
Er (0.8377, 0.9075, 0.8150)
Pr (0.2033, 0.0611, 0.6586)
Pr (0.7967, 0.4026, 0.3414)
Pr (0.5793, 0.3707, 0.7414)
Pr (0.4207, 0.6293, 0.2586)
Pr (0.2033, 0.5974, 0.6586)
Pr (0.7967, 0.9389, 0.3414)
Ce (0.0000, 0.5000, 0.0000)
Ho (0.5000, 0.0000, 0.0000)

Computed properties:
- SG: No. 12
- Energy of formation: 0.232 eV per atom
- D(E_F): 21.9 states/eV/cell
- Uncorrected energy: -45.99 eV/f.u.

=====

(2)
Compound: CeHoErPu
Source: Alexandria
Functional: PBE-GGA
Structure: relaxed

abc: 5.5464 5.5464 5.5464
angles: 60.00 60.00 60.00
Element x y z (fractional)
Ce (0.7500, 0.7500, 0.7500)
Pu (0.2500, 0.2500, 0.2500)
Er (0.0000, 0.0000, 0.0000)
Ho (0.5000, 0.5000, 0.5000)

Computed properties:
- SG: No. 216
- Energy of formation: 0.258 eV per atom
- D(E_F): 16.8 states/eV/cell
- Uncorrected energy: -28.37 eV/f.u.

=====

(3)
Compound: CeHoEr2Ru4
Source: Alexandria
Functional: PBE-GGA
Structure: relaxed

abc: 4.8248 4.8248 8.2301
angles: 72.96 72.96 60.00
Element x y z (fractional)
Ce (0.5000, 0.5000, 0.5000)
Ho (0.0000, 0.0000, 0.0000)
Er (0.7473, 0.7473, 0.7580)
Er (0.2527, 0.2527, 0.2420)
Ru (0.6210, 0.6210, 0.1370)
Ru (0.1273, 0.1273, 0.6181)
Ru (0.8727, 0.8727, 0.3819)
Ru (0.3790, 0.3790, 0.8630)

Computed properties:
- SG: No. 166
- Energy of formation: -0.422 eV per atom
- D(E_F): 4.9 states/eV/cell
- Uncorrected energy: -60.11 eV/f.u.

=====

(4)
Compound: Ce4HoEr3S8
Source: Alexandria
Functional: PBE-GGA
Structure: relaxed

abc: 7.8415 7.9470 7.8417
angles: 119.57 120.00 90.00
Element x y z (fractional)
S (0.7545, 0.2649, 0.0104)
S (0.7441, 0.7351, 0.9896)
S (0.2552, 0.2655, 0.5104)
S (0.2455, 0.7351, 0.4909)
S (0.2455, 0.7351, 0.9896)
S (0.7448, 0.7345, 0.4896)
S (0.2559, 0.2649, 0.0104)
S (0.7545, 0.2649, 0.5091)
Er (0.5000, 0.5000, 0.0000)
Er (0.0000, 0.5000, 0.5000)
Er (0.5000, 0.5000, 0.5000)
Ho (0.0000, 0.5000, 0.0000)
Ce (0.0000, 0.0000, 0.0000)
Ce (0.5000, 0.0000, 0.0000)
Ce (0.0000, 0.0000, 0.5000)
Ce (0.5000, 0.0000, 0.5000)

Computed properties:
- SG: No. 166
- E_form (uncorrected): -2.017 eV per atom
- D(E_F): 21.2 states/eV/cell
- Uncorrected energy: -107.29 eV/f.u.

=====

(5)
Compound: Ce3Ho4ErS8
Source: Alexandria
Functional: PBE-GGA
Structure: relaxed

abc: 7.8475 7.8863 7.8477
angles: 119.84 120.00 90.00
Element x y z (fractional)
S (0.7589, 0.7578, 0.0084)
S (0.7544, 0.7631, 0.5088)
S (0.2411, 0.2422, 0.9916)
S (0.7506, 0.2422, 0.9916)
S (0.2494, 0.7578, 0.4989)
S (0.2456, 0.2369, 0.4912)
S (0.7506, 0.2422, 0.5011)
S (0.2494, 0.7578, 0.0084)
Ho (0.5000, 0.0000, 0.5000)
Ho (0.5000, 0.0000, 0.0000)
Ho (0.0000, 0.0000, 0.5000)
Ho (0.0000, 0.0000, 0.0000)
Ce (0.5000, 0.5000, 0.0000)
Ce (0.5000, 0.5000, 0.5000)
Ce (0.0000, 0.5000, 0.5000)
Er (0.0000, 0.5000, 0.0000)

Computed properties:
- SG: No. 166
- E_form (uncorrected): -2.006 eV per atom
- D(E_F): 17.3 states/eV/cell
- Uncorrected energy: -105.79 eV/f.u.

=====

(6)
Compound: Ce3HoEr2S6
Source: Alexandria
Functional: PBE-GGA
Structure: relaxed

abc: 6.7922 6.7922 6.9270
angles: 99.42 99.42 120.03
Element x y z (fractional)
Er (0.3333, 0.6667, 0.0000)
Er (0.6667, 0.3333, 0.0000)
S (0.2562, 0.2562, 0.7654)
S (0.0783, 0.4127, 0.2349)
S (0.4127, 0.0783, 0.2349)
S (0.9217, 0.5873, 0.7651)
S (0.7438, 0.7438, 0.2346)
S (0.5873, 0.9217, 0.7651)
Ce (0.5000, 0.5000, 0.5000)
Ce (0.8337, 0.1663, 0.5000)
Ce (0.1663, 0.8337, 0.5000)
Ho (0.0000, 0.0000, 0.0000)

Computed properties:
- SG: No. 12
- E_form (uncorrected): -2.018 eV per atom
- D(E_F): 15.8 states/eV/cell
- Uncorrected energy: -80.48 eV/f.u.

=====

(7)
Compound: Ce2HoEr3S6
Source: Alexandria
Functional: PBE-GGA
Structure: relaxed

abc: 3.8998 7.8949 8.7856
angles: 103.53 102.82 90.00
Element x y z (fractional)
S (0.6626, 0.5921, 0.3252)
S (0.3337, 0.9269, 0.6674)
S (0.9965, 0.2490, 0.9931)
S (0.3374, 0.4079, 0.6748)
S (0.0035, 0.7510, 0.0069)
S (0.6663, 0.0731, 0.3326)
Er (0.5000, 0.5000, 0.0000)
Er (0.1678, 0.8323, 0.3355)
Er (0.8322, 0.1677, 0.6645)
Ho (0.5000, 0.0000, 0.0000)
Ce (0.8324, 0.6640, 0.6649)
Ce (0.1676, 0.3360, 0.3351)

Computed properties:
- SG: No. 12
- E_form (uncorrected): -1.996 eV per atom
- D(E_F): 12.5 states/eV/cell
- Uncorrected energy: -78.85 eV/f.u.

=====

(8)
Compound: CeHoEr2S4
Source: Alexandria
Functional: PBE-GGA
Structure: relaxed

abc: 3.8852 6.7765 6.7925
angles: 109.19 90.00 90.00
Element x y z (fractional)
S (0.5000, 0.7534, 0.7439)
S (0.0000, 0.2409, 0.7395)
S (0.5000, 0.2466, 0.2561)
S (0.0000, 0.7591, 0.2605)
Ce (0.5000, 0.5000, 0.0000)
Er (0.0000, 0.5000, 0.5000)
Er (0.5000, 0.0000, 0.5000)
Ho (0.0000, 0.0000, 0.0000)

Computed properties:
- SG: No. 10
- E_form (uncorrected): -1.987 eV per atom
- D(E_F): 7.3 states/eV/cell
- Uncorrected energy: -52.04 eV/f.u.

=====

(9)
Compound: Ce3HoEr3S8
Source: Alexandria
Functional: PBE-GGA
Structure: relaxed

abc: 7.8377 7.8377 7.9235
angles: 119.55 90.00 120.09
Element x y z (fractional)
Ce (0.5000, 0.5000, 0.0000)
Ce (0.0000, 0.5000, 0.0000)
Ce (0.0000, 0.0000, 0.0000)
S (0.2574, 0.0098, 0.2623)
S (0.7526, 0.5050, 0.2624)
S (0.7452, 0.4900, 0.7352)
S (0.2548, 0.5100, 0.2648)
S (0.2476, 0.9901, 0.7377)
S (0.7426, 0.9902, 0.7377)
S (0.7524, 0.0099, 0.2623)
S (0.2474, 0.4950, 0.7376)
Er (0.0000, 0.5000, 0.5000)
Er (0.5000, 0.0000, 0.5000)
Er (0.5000, 0.5000, 0.5000)
Ho (0.0000, 0.0000, 0.5000)

Computed properties:
- SG: No. 12
- E_form (uncorrected): -2.038 eV per atom
- D(E_F): 20.2 states/eV/cell
- Uncorrected energy: -99.66 eV/f.u.

=====

(10)
Compound: Ce2HoErS4
Source: Alexandria
Functional: PBE-GGA
Structure: relaxed

abc: 3.9185 6.7975 6.9276
angles: 109.08 90.00 90.00
Element x y z (fractional)
Ce (0.0000, 0.5000, 0.5000)
Ce (0.5000, 0.0000, 0.5000)
Er (0.0000, 0.0000, 0.0000)
S (0.0000, 0.2539, 0.7645)
S (0.5000, 0.2440, 0.2348)
S (0.0000, 0.7461, 0.2355)
S (0.5000, 0.7560, 0.7652)
Ho (0.5000, 0.5000, 0.0000)

Computed properties:
- SG: No. 10
- E_form (uncorrected): -2.019 eV per atom
- D(E_F): 10.7 states/eV/cell
- Uncorrected energy: -53.67 eV/f.u.

=====

(11)
Compound: Ce2Ho3ErS6
Source: Alexandria
Functional: PBE-GGA
Structure: relaxed

abc: 3.9099 7.8984 8.7905
angles: 103.30 102.85 90.00
Element x y z (fractional)
Ho (0.5000, 0.5000, 0.0000)
Ho (0.8320, 0.1677, 0.6640)
Ho (0.1680, 0.8323, 0.3360)
S (0.0031, 0.7535, 0.0062)
S (0.6653, 0.0741, 0.3307)
S (0.3370, 0.4088, 0.6740)
S (0.3347, 0.9259, 0.6693)
S (0.6630, 0.5911, 0.3260)
S (0.9969, 0.2465, 0.9938)
Er (0.5000, 0.0000, 0.0000)
Ce (0.8324, 0.6638, 0.6647)
Ce (0.1676, 0.3362, 0.3353)

Computed properties:
- SG: No. 12
- E_form (uncorrected): -2.001 eV per atom
- D(E_F): 12.6 states/eV/cell
- Uncorrected energy: -78.93 eV/f.u.

=====

(12)
Compound: CeHo3Er4S8
Source: Alexandria
Functional: PBE-GGA
Structure: relaxed

abc: 7.7783 7.7847 7.7784
angles: 119.97 120.00 90.00
Element x y z (fractional)
Ho (0.0000, 0.5000, 0.5000)
Ho (0.5000, 0.5000, 0.0000)
Ho (0.5000, 0.5000, 0.5000)
S (0.7507, 0.7520, 0.5013)
S (0.2493, 0.2480, 0.4987)
S (0.7457, 0.2444, 0.9987)
S (0.2543, 0.7556, 0.0013)
S (0.7457, 0.2444, 0.4914)
S (0.2530, 0.2444, 0.9987)
S (0.7470, 0.7556, 0.0013)
S (0.2543, 0.7556, 0.5086)
Er (0.0000, 0.0000, 0.0000)
Er (0.5000, 0.0000, 0.5000)
Er (0.0000, 0.0000, 0.5000)
Er (0.5000, 0.0000, 0.0000)
Ce (0.0000, 0.5000, 0.0000)

Computed properties:
- SG: No. 166
- E_form (uncorrected): -1.974 eV per atom
- D(E_F): 10.7 states/eV/cell
- Uncorrected energy: -102.52 eV/f.u.